No. 1
Compound: TaCuOs2
Source: Alexandria
Functional: GGA-PBE
Structure: optimized geometry

Properties
- theoretical density (g cm⁻³) = 17.3
- calculated total energy (eV/atom) = -9.38
- formation enthalpy at 0 K (meV/atom) = 218
- crystal system = trigonal

Unit cell a=9.220 b=9.220 c=9.220 alpha=17.22 beta=17.22 gamma=17.22
Element x y z (fractional)
Os 0.000 0.000 0.000
Os 0.255 0.255 0.255
Ta 0.499 0.499 0.499
Cu 0.747 0.747 0.747

---

No. 2
Compound: TaCuOs2
Source: Alexandria
Functional: GGA-PBE
Structure: optimized geometry

Properties
- theoretical density (g cm⁻³) = 17.4
- calculated total energy (eV/atom) = -9.34
- formation enthalpy at 0 K (meV/atom) = 263
- crystal system = tetragonal

Unit cell a=3.211 b=3.211 c=5.779 alpha=90.00 beta=90.00 gamma=90.00
Element x y z (fractional)
Os 0.000 0.000 0.966
Os 0.500 0.500 0.263
Ta 0.000 0.000 0.513
Cu 0.500 0.500 0.758

---

No. 3
Compound: TaCuOs3
Source: Alexandria
Functional: GGA-PBE
Structure: optimized geometry

Properties
- theoretical density (g cm⁻³) = 16.0
- calculated total energy (eV/atom) = -8.31
- formation enthalpy at 0 K (meV/atom) = 1614
- crystal system = cubic

Unit cell a=4.388 b=4.388 c=4.388 alpha=90.00 beta=90.00 gamma=90.00
Element x y z (fractional)
Cu 0.000 0.000 0.000
Os 0.000 0.000 0.500
Os 0.500 0.000 0.000
Os 0.000 0.500 0.000
Ta 0.500 0.500 0.500

---

No. 4
Compound: TaCu2Os
Source: Alexandria
Functional: GGA-PBE
Structure: optimized geometry

Properties
- theoretical density (g cm⁻³) = 14.6
- calculated total energy (eV/atom) = -7.80
- formation enthalpy at 0 K (meV/atom) = 22
- crystal system = tetragonal

Unit cell a=4.688 b=4.688 c=3.854 alpha=65.73 beta=65.73 gamma=48.50
Element x y z (fractional)
Ta 0.250 0.250 0.250
Cu 0.750 0.750 0.750
Cu 0.000 0.000 0.000
Os 0.500 0.500 0.500